DFT (GGA-PBE) results for a geometry-optimized BaPAuBr2 structure.

```
5
Lattice="5.625 0.000 0.000 0.000 5.625 0.000 0.000 0.000 4.816" Properties=species:S:1:pos:R:3 pbc="T T T"
Ba 0.000 0.000 0.000
P 2.813 2.813 0.000
Au 2.813 2.813 2.408
Br 0.000 2.813 2.408
Br 2.813 0.000 2.408
```

Summary:
* SG: P4/mmm, No. 123
* total energy: -0.247 Ry/atom
* size of the total moment: 1.25 Bohr magnetons per cell
* DOS(E_F): 0.547 states/eV/atom